(1)
A plane-wave DFT calculation with GGA-PBE was carried out for a geometry-optimized NdDy8Tm5 structure.

The calculation puts the raw total energy at -4.317 eV per atom. The density of states at the Fermi level is 1.553 states/eV per atom.

The space group is I-4 (No. 82) and the conventional cell measures 9.437, 9.437 and 10.179 Å, with angles of 90.00, 90.00 and 90.00 degrees. The inequivalent atoms are Nd at (0.000, 0.000, 0.000), Dy at (0.071, 0.824, 0.352), Dy at (0.089, 0.672, 0.002), Tm at (0.000, 0.500, 0.250) and Tm at (0.113, 0.708, 0.677).

(2)
A plane-wave DFT calculation with GGA-PBE was carried out for a geometry-optimized Nd3Dy2Tm2 structure.

The calculation puts the raw total energy at -4.578 eV per atom. The density of states at the Fermi level is 1.568 states/eV per atom.

The space group is Immm (No. 71) and the conventional cell measures 3.536, 5.561 and 23.302 Å, with angles of 90.00, 90.00 and 90.00 degrees. The inequivalent atoms are Nd at (0.000, 0.000, 0.000), Nd at (0.000, 0.500, 0.223), Dy at (0.000, 0.000, 0.421) and Tm at (0.000, 0.000, 0.142).

(3)
A plane-wave DFT calculation with GGA-PBE was carried out for a geometry-optimized Nd8Dy3Tm4 structure.

The calculation puts the raw total energy at -4.274 eV per atom. The density of states at the Fermi level is 1.946 states/eV per atom.

The space group is C2/m (No. 12) and the conventional cell measures 13.552, 12.826 and 6.842 Å, with angles of 90.00, 120.22 and 90.00 degrees. The inequivalent atoms are Nd at (0.000, 0.154, 0.000), Nd at (0.000, 0.253, 0.500), Nd at (0.234, 0.000, 0.460), Nd at (0.236, 0.000, 0.992), Dy at (0.000, 0.000, 0.500), Dy at (0.250, 0.250, 0.000), Tm at (0.000, 0.500, 0.000), Tm at (0.000, 0.500, 0.500) and Tm at (0.250, 0.250, 0.500).

(4)
A plane-wave DFT calculation with GGA-PBE was carried out for a geometry-optimized Nd2Dy2Tm15 structure.

The calculation puts the raw total energy at -4.225 eV per atom. The density of states at the Fermi level is 1.692 states/eV per atom.

The space group is R-3m (No. 166, hexagonal axes) and the conventional cell measures 11.1050, 11.1050 and 17.3452 Å, with angles of 90.00, 90.00 and 120.00 degrees. The inequivalent atoms are Nd at (0.0000, 0.0000, 0.1173), Dy at (0.0000, 0.0000, 0.3303), Tm at (0.0000, 0.3050, 0.0000), Tm at (0.0000, 0.5000, 0.5000) and Tm at (0.0123, 0.5062, 0.1399).

(5)
A plane-wave DFT calculation with GGA-PBE was carried out for a geometry-optimized NdDy10Tm4 structure.

The calculation puts the raw total energy at -3.852 eV per atom. The density of states at the Fermi level is 1.164 states/eV per atom.

The space group is I4/m (No. 87) and the conventional cell measures 12.090, 12.090 and 7.650 Å, with angles of 90.00, 90.00 and 90.00 degrees. The inequivalent atoms are Nd at (0.000, 0.000, 0.000), Dy at (0.000, 0.500, 0.250), Dy at (0.101, 0.799, 0.253) and Tm at (0.099, 0.302, 0.500).

(6)
A plane-wave DFT calculation with GGA-PBE was carried out for a geometry-optimized Nd2Dy4Tm5 structure.

The calculation puts the raw total energy at -4.349 eV per atom. The density of states at the Fermi level is 1.525 states/eV per atom.

The space group is Immm (No. 71) and the conventional cell measures 3.482, 8.982 and 23.085 Å, with angles of 90.00, 90.00 and 90.00 degrees. The inequivalent atoms are Nd at (0.000, 0.000, 0.233), Dy at (0.000, 0.000, 0.097), Dy at (0.000, 0.308, 0.500), Tm at (0.000, 0.193, 0.359) and Tm at (0.000, 0.500, 0.000).

(7)
A plane-wave DFT calculation with GGA-PBE was carried out for a geometry-optimized Nd2Dy5Tm12 structure.

The calculation puts the raw total energy at -4.513 eV per atom. The density of states at the Fermi level is 1.362 states/eV per atom.

The space group is P-1 (No. 2) and the conventional cell measures 6.099, 9.327 and 10.558 Å, with angles of 101.02, 95.59 and 90.11 degrees. The inequivalent atoms are Nd at (0.080, 0.315, 0.473), Dy at (0.238, 0.947, 0.420), Dy at (0.342, 0.368, 0.052), Dy at (0.500, 0.000, 0.000), Tm at (0.026, 0.105, 0.156), Tm at (0.132, 0.526, 0.792), Tm at (0.185, 0.737, 0.104), Tm at (0.289, 0.158, 0.739), Tm at (0.395, 0.579, 0.367) and Tm at (0.447, 0.790, 0.686).

(8)
A plane-wave DFT calculation with GGA-PBE was carried out for a geometry-optimized NdDy6Tm6 structure.

The calculation puts the raw total energy at -4.284 eV per atom. The density of states at the Fermi level is 1.960 states/eV per atom.

The space group is P6/mmm (No. 191) and the conventional cell measures 6.6063, 6.6063 and 11.3263 Å, with angles of 90.00, 90.00 and 120.00 degrees. The inequivalent atoms are Nd at (0.0000, 0.0000, 0.0000), Dy at (0.0000, 0.0000, 0.3476), Dy at (0.3333, 0.6667, 0.0000), Dy at (0.3333, 0.6667, 0.5000) and Tm at (0.0000, 0.5000, 0.2443).

Q: Among the records above, which one has the lowest raw total energy?
A: Nd3Dy2Tm2

Q: raw total energy of number 5 (NdDy10Tm4)?
A: -3.852 eV per atom